No. 1
DFT (GGA-PBEsol) results for an optimized crystal structure of BiClF3.

a = 4.3613 Å, b = 4.3613 Å, c = 4.3613 Å
α = 90.00°, β = 90.00°, γ = 90.00°
Closest atoms and distances in Å follow each position.
Positions (direct):
Bi 0.0000 0.0000 0.0000  12 F 3.08
Cl 0.5000 0.5000 0.5000  6 F 2.18
F 0.0000 0.5000 0.5000  2 Cl 2.18
F 0.5000 0.0000 0.5000  2 Cl 2.18
F 0.5000 0.5000 0.0000  2 Cl 2.18

final energy: -2.7538 eV per atom
symmetry: No. 221
total magnetic moment: 0.00 μB per formula unit
mass density: 6.034 g cm⁻³

***

No. 2
DFT (GGA-PBEsol) results for an optimized crystal structure of BiClF8.

a = 5.2714 Å, b = 5.7670 Å, c = 10.5448 Å
α = 90.40°, β = 93.28°, γ = 93.04°
Closest atoms and distances in Å follow each position.
Positions (direct):
Bi 0.0000 0.0000 0.0000  6 F 2.01-2.10
Bi 0.0000 0.0000 0.5000  6 F 2.01-2.10
Cl 0.4018 0.3775 0.2460  2 F 1.61
Cl 0.5982 0.6225 0.7540  2 F 1.61
F 0.1126 0.2104 0.3491  1 Bi 2.10, 1 Cl 2.12
F 0.1292 0.7179 0.4173  1 Bi 2.01
F 0.1671 0.8210 0.1415  1 Bi 2.01
F 0.1712 0.3126 0.0748  1 Bi 2.10, 1 Cl 2.14
F 0.2976 0.9597 0.8922  1 Bi 2.01
F 0.3348 0.0615 0.5986  1 Bi 2.01
F 0.3963 0.4896 0.8413  1 Cl 1.61
F 0.4315 0.5706 0.6228  1 Cl 1.61
F 0.5685 0.4294 0.3772  1 Cl 1.61
F 0.6037 0.5104 0.1587  1 Cl 1.61
F 0.6652 0.9385 0.4014  1 Bi 2.01
F 0.7024 0.0403 0.1078  1 Bi 2.01
F 0.8288 0.6874 0.9252  1 Bi 2.10, 1 Cl 2.14
F 0.8329 0.1790 0.8585  1 Bi 2.01
F 0.8708 0.2821 0.5827  1 Bi 2.01
F 0.8874 0.7896 0.6509  1 Bi 2.10, 1 Cl 2.12

final energy: -3.5424 eV per atom
symmetry: No. 2
total magnetic moment: 0.00 μB per formula unit
mass density: 4.120 g cm⁻³

***

Repeat the second record exactly.
DFT (GGA-PBEsol) results for an optimized crystal structure of BiClF8.

a = 5.2714 Å, b = 5.7670 Å, c = 10.5448 Å
α = 90.40°, β = 93.28°, γ = 93.04°
Closest atoms and distances in Å follow each position.
Positions (direct):
Bi 0.0000 0.0000 0.0000  6 F 2.01-2.10
Bi 0.0000 0.0000 0.5000  6 F 2.01-2.10
Cl 0.4018 0.3775 0.2460  2 F 1.61
Cl 0.5982 0.6225 0.7540  2 F 1.61
F 0.1126 0.2104 0.3491  1 Bi 2.10, 1 Cl 2.12
F 0.1292 0.7179 0.4173  1 Bi 2.01
F 0.1671 0.8210 0.1415  1 Bi 2.01
F 0.1712 0.3126 0.0748  1 Bi 2.10, 1 Cl 2.14
F 0.2976 0.9597 0.8922  1 Bi 2.01
F 0.3348 0.0615 0.5986  1 Bi 2.01
F 0.3963 0.4896 0.8413  1 Cl 1.61
F 0.4315 0.5706 0.6228  1 Cl 1.61
F 0.5685 0.4294 0.3772  1 Cl 1.61
F 0.6037 0.5104 0.1587  1 Cl 1.61
F 0.6652 0.9385 0.4014  1 Bi 2.01
F 0.7024 0.0403 0.1078  1 Bi 2.01
F 0.8288 0.6874 0.9252  1 Bi 2.10, 1 Cl 2.14
F 0.8329 0.1790 0.8585  1 Bi 2.01
F 0.8708 0.2821 0.5827  1 Bi 2.01
F 0.8874 0.7896 0.6509  1 Bi 2.10, 1 Cl 2.12

final energy: -3.5424 eV per atom
symmetry: No. 2
total magnetic moment: 0.00 μB per formula unit
mass density: 4.120 g cm⁻³